Entry i
{
  "formula": "Tb2Nd3Ho2",
  "functional": "PBE",
  "state": "relaxed",
  "spacegroup": "C2/m",
  "lattice_angstrom": [[8.800, -1.762, 0.000], [8.800, 1.762, 0.000], [-4.153, 0.000, 7.548]],
  "species": ["Tb", "Tb", "Nd", "Nd", "Nd", "Ho", "Ho"],
  "fractional_positions": [[0.144, 0.144, 0.322], [0.856, 0.856, 0.678], [0.000, 0.000, 0.500], [0.213, 0.213, 0.801], [0.787, 0.787, 0.199], [0.436, 0.436, 0.091], [0.564, 0.564, 0.909]]
}

Entry ii
{
  "formula": "Tb2Nd3Ho2",
  "functional": "PBE",
  "state": "relaxed",
  "spacegroup": "C2/m",
  "lattice_angstrom": [[5.972, -1.802, 0.000], [5.972, 1.802, 0.000], [-1.117, 0.000, 10.748]],
  "species": ["Tb", "Tb", "Nd", "Nd", "Nd", "Ho", "Ho"],
  "fractional_positions": [[0.215, 0.215, 0.358], [0.785, 0.785, 0.642], [0.357, 0.357, 0.928], [0.500, 0.500, 0.500], [0.643, 0.643, 0.072], [0.072, 0.072, 0.784], [0.928, 0.928, 0.216]]
}

Computed relative energies in units of eV/atom: entry i 0.093; entry ii 0.000

Entry i
{
  "formula": "Tb3Nd4Ho4",
  "functional": "PBE",
  "state": "relaxed",
  "spacegroup": "P-1",
  "lattice_angstrom": [[3.595, 0.000, 0.000], [0.000, 5.066, 0.000], [-1.769, -2.529, 19.766]],
  "species": ["Tb", "Tb", "Tb", "Nd", "Nd", "Nd", "Nd", "Ho", "Ho", "Ho", "Ho"],
  "fractional_positions": [[0.000, 0.000, 0.000], [0.364, 0.364, 0.727], [0.636, 0.636, 0.273], [0.182, 0.182, 0.364], [0.454, 0.455, 0.908], [0.546, 0.545, 0.092], [0.818, 0.818, 0.636], [0.093, 0.090, 0.183], [0.272, 0.272, 0.545], [0.728, 0.728, 0.455], [0.907, 0.910, 0.817]]
}

Entry ii
{
  "formula": "Tb3Nd4Ho4",
  "functional": "PBE",
  "state": "relaxed",
  "spacegroup": "Amm2",
  "lattice_angstrom": [[10.670, 0.000, 0.000], [0.000, 2.851, 6.036], [0.000, -2.851, 6.036]],
  "species": ["Tb", "Tb", "Tb", "Nd", "Nd", "Nd", "Nd", "Ho", "Ho", "Ho", "Ho"],
  "fractional_positions": [[0.000, 0.000, 0.000], [0.289, 0.156, 0.156], [0.711, 0.156, 0.156], [0.000, 0.707, 0.707], [0.208, 0.501, 0.501], [0.500, 0.628, 0.628], [0.792, 0.501, 0.501], [0.000, 0.298, 0.298], [0.302, 0.850, 0.850], [0.500, 0.356, 0.356], [0.698, 0.850, 0.850]]
}

Computed relative energies in units of eV/atom: entry i 0.000; entry ii 0.136

Entry i
{
  "formula": "Tb2Nd5Ho12",
  "functional": "PBE",
  "state": "relaxed",
  "spacegroup": "P-1",
  "lattice_angstrom": [[6.179, 0.000, 0.000], [-0.012, 9.449, 0.000], [-1.045, -2.056, 10.457]],
  "species": ["Tb", "Tb", "Nd", "Nd", "Nd", "Nd", "Nd", "Ho", "Ho", "Ho", "Ho", "Ho", "Ho", "Ho", "Ho", "Ho", "Ho", "Ho", "Ho"],
  "fractional_positions": [[0.080, 0.318, 0.474], [0.920, 0.682, 0.526], [0.237, 0.947, 0.421], [0.342, 0.368, 0.053], [0.500, 0.000, 0.000], [0.658, 0.632, 0.947], [0.763, 0.053, 0.579], [0.026, 0.106, 0.158], [0.131, 0.526, 0.788], [0.183, 0.737, 0.105], [0.289, 0.159, 0.737], [0.396, 0.578, 0.369], [0.445, 0.787, 0.683], [0.555, 0.213, 0.317], [0.604, 0.422, 0.631], [0.711, 0.841, 0.263], [0.817, 0.263, 0.895], [0.869, 0.474, 0.212], [0.974, 0.894, 0.842]]
}

Entry ii
{
  "formula": "Tb2Nd5Ho12",
  "functional": "PBE",
  "state": "relaxed",
  "spacegroup": "C2/m",
  "lattice_angstrom": [[8.908, -4.531, 0.000], [8.908, 4.531, 0.000], [-3.750, 0.000, 7.821]],
  "species": ["Tb", "Tb", "Nd", "Nd", "Nd", "Nd", "Nd", "Ho", "Ho", "Ho", "Ho", "Ho", "Ho", "Ho", "Ho", "Ho", "Ho", "Ho", "Ho"],
  "fractional_positions": [[0.173, 0.827, 0.000], [0.827, 0.173, 0.000], [0.214, 0.214, 0.226], [0.264, 0.264, 0.708], [0.500, 0.500, 0.500], [0.736, 0.736, 0.292], [0.786, 0.786, 0.774], [0.062, 0.062, 0.716], [0.095, 0.653, 0.546], [0.170, 0.540, 0.094], [0.347, 0.905, 0.454], [0.455, 0.455, 0.818], [0.460, 0.830, 0.906], [0.540, 0.170, 0.094], [0.545, 0.545, 0.182], [0.653, 0.095, 0.546], [0.830, 0.460, 0.906], [0.905, 0.347, 0.454], [0.938, 0.938, 0.284]]
}

Computed relative energies in units of eV/atom: entry i 0.000; entry ii 0.196

Entry i
{
  "formula": "Tb9Nd2Ho",
  "functional": "PBE",
  "state": "relaxed",
  "spacegroup": "P6/mmm",
  "lattice_angstrom": [[11.314, 0.000, 0.000], [-5.657, 9.799, 0.000], [0.000, 0.000, 3.498]],
  "species": ["Tb", "Tb", "Tb", "Tb", "Tb", "Tb", "Tb", "Tb", "Tb", "Nd", "Nd", "Ho"],
  "fractional_positions": [[0.000, 0.500, 0.000], [0.173, 0.346, 0.500], [0.173, 0.827, 0.500], [0.346, 0.173, 0.500], [0.500, 0.000, 0.000], [0.500, 0.500, 0.000], [0.654, 0.827, 0.500], [0.827, 0.173, 0.500], [0.827, 0.654, 0.500], [0.333, 0.667, 0.000], [0.667, 0.333, 0.000], [0.000, 0.000, 0.000]]
}

Entry ii
{
  "formula": "Tb9Nd2Ho",
  "functional": "PBE",
  "state": "relaxed",
  "spacegroup": "P4/mmm",
  "lattice_angstrom": [[5.058, 0.000, 0.000], [0.000, 5.058, 0.000], [0.000, 0.000, 15.180]],
  "species": ["Tb", "Tb", "Tb", "Tb", "Tb", "Tb", "Tb", "Tb", "Tb", "Nd", "Nd", "Ho"],
  "fractional_positions": [[0.000, 0.000, 0.000], [0.000, 0.000, 0.332], [0.000, 0.000, 0.668], [0.000, 0.500, 0.164], [0.000, 0.500, 0.500], [0.000, 0.500, 0.836], [0.500, 0.000, 0.164], [0.500, 0.000, 0.500], [0.500, 0.000, 0.836], [0.500, 0.500, 0.332], [0.500, 0.500, 0.668], [0.500, 0.500, 0.000]]
}

Computed relative energies in units of eV/atom: entry i 0.044; entry ii 0.000